Below is an optimized crystal structure of Pu2InSe4, with properties calculated at the PBE level.

Unit cell a=4.176 b=7.217 c=14.061 alpha=90.00 beta=90.00 gamma=106.82
Positions (direct):
In 0.596 0.191 0.750
In 0.404 0.809 0.250
Pu 0.865 0.730 0.937
Pu 0.865 0.730 0.563
Pu 0.135 0.270 0.063
Pu 0.135 0.270 0.437
Se 0.764 0.527 0.112
Se 0.938 0.876 0.750
Se 0.236 0.473 0.888
Se 0.062 0.124 0.250
Se 0.500 0.000 0.000
Se 0.236 0.473 0.612
Se 0.764 0.527 0.388
Se 0.500 0.000 0.500

Properties
Total magnetization = 1.29 μB per atom
Formation energy (no corrections) = -1100 meV per atom
SG = Cmcm

***

Below is an optimized crystal structure of Mn2CrSb, with properties calculated at the PBE level.

Unit cell a=3.927 b=3.927 c=9.468 alpha=78.03 beta=78.03 gamma=90.00
Positions (direct):
Mn 0.128 0.625 0.250
Mn 0.375 0.378 0.750
Mn 0.875 0.872 0.750
Mn 0.622 0.125 0.250
Cr 0.500 0.500 0.000
Cr 0.250 0.750 0.500
Sb 0.750 0.250 0.500
Sb 0.000 0.000 0.000

Properties
Total magnetization = 0.94 μB per atom
Formation energy (no corrections) = 519 meV per atom
SG = I-42d

***

Below is an optimized crystal structure of YScCl, with properties calculated at the PBE level.

Unit cell a=5.593 b=3.581 c=7.452 alpha=90.00 beta=90.41 gamma=89.99
Positions (direct):
Sc 0.316 0.159 0.907
Sc 0.987 0.659 0.639
Y 0.894 0.659 0.127
Y 0.335 0.159 0.366
Cl 0.785 0.159 0.847
Cl 0.821 0.159 0.414

Properties
Energy above the lowest structure with this stoichiometry = 126 meV per atom
Total magnetization = 0.00 μB per atom
Formation energy (no corrections) = -746 meV per atom
SG = Pm

***

Below is an optimized crystal structure of Be2AlReOs, with properties calculated at the PBE level.

Unit cell a=4.122 b=4.552 c=4.122 alpha=90.00 beta=90.00 gamma=90.00
Positions (direct):
Al 0.000 0.500 0.000
Os 0.000 0.000 0.000
Be 0.000 0.000 0.500
Be 0.500 0.000 0.000
Re 0.500 0.500 0.500

Properties
DFT formation energy = 1155 meV/atom
Total magnetization = 0.42 μB per atom
SG = P4/mmm

***

What did the first record say?
Below is an optimized crystal structure of Pu2InSe4, with properties calculated at the PBE level.

Unit cell a=4.176 b=7.217 c=14.061 alpha=90.00 beta=90.00 gamma=106.82
Positions (direct):
In 0.596 0.191 0.750
In 0.404 0.809 0.250
Pu 0.865 0.730 0.937
Pu 0.865 0.730 0.563
Pu 0.135 0.270 0.063
Pu 0.135 0.270 0.437
Se 0.764 0.527 0.112
Se 0.938 0.876 0.750
Se 0.236 0.473 0.888
Se 0.062 0.124 0.250
Se 0.500 0.000 0.000
Se 0.236 0.473 0.612
Se 0.764 0.527 0.388
Se 0.500 0.000 0.500

Properties
Total magnetization = 1.29 μB per atom
Formation energy (no corrections) = -1100 meV per atom
SG = Cmcm

***

- Which formula does entry 2 have?
  Mn2CrSb